A relaxed structure of TbPrHoEr, computed with PBE.

a = 5.6994 Å, b = 5.6994 Å, c = 5.6994 Å
α = 60.00°, β = 60.00°, γ = 60.00°
Closest atoms and distances in Å follow each position.
Positions (direct):
Tb 0.0000 0.0000 0.0000  4 Er 3.49, 4 Ho 3.49
Pr 0.5000 0.5000 0.5000  4 Er 3.49, 4 Ho 3.49
Ho 0.2500 0.2500 0.2500  4 Tb 3.49, 4 Pr 3.49
Er 0.7500 0.7500 0.7500  4 Tb 3.49, 4 Pr 3.49

## Properties
- excess energy over the best structure of this formula in the dataset (eV per formula unit) = 0.00

---

A relaxed structure of Tb3PrHo2Er6, computed with PBE.

a = 6.1282 Å, b = 6.1282 Å, c = 11.7121 Å
α = 94.99°, β = 94.99°, γ = 119.97°
Closest atoms and distances in Å follow each position.
Positions (direct):
Tb 0.0000 0.0000 0.0000  6 Er 3.52, 6 Tb 3.53-3.54
Tb 0.3331 0.6669 0.0000  6 Er 3.52-3.53, 6 Tb 3.53-3.54
Tb 0.6669 0.3331 0.0000  6 Er 3.52-3.53, 6 Tb 3.53-3.54
Pr 0.5000 0.5000 0.5000  6 Ho 3.54, 6 Er 3.54-3.55
Ho 0.1667 0.8333 0.5000  3 Pr 3.54, 3 Ho 3.54, 6 Er 3.54
Ho 0.8333 0.1667 0.5000  3 Pr 3.54, 3 Ho 3.54, 6 Er 3.54
Er 0.0818 0.4159 0.2489  3 Tb 3.52-3.53, 6 Er 3.53-3.55, 2 Ho 3.54, 1 Pr 3.55
Er 0.2498 0.2498 0.7509  3 Tb 3.52-3.53, 6 Er 3.53-3.55, 2 Ho 3.54, 1 Pr 3.54
Er 0.4159 0.0818 0.2489  3 Tb 3.52-3.53, 6 Er 3.53-3.55, 2 Ho 3.54, 1 Pr 3.55
Er 0.5841 0.9182 0.7511  3 Tb 3.52-3.53, 6 Er 3.53-3.55, 2 Ho 3.54, 1 Pr 3.55
Er 0.7502 0.7502 0.2491  3 Tb 3.52-3.53, 6 Er 3.53-3.55, 2 Ho 3.54, 1 Pr 3.54
Er 0.9182 0.5841 0.7511  3 Tb 3.52-3.53, 6 Er 3.53-3.55, 2 Ho 3.54, 1 Pr 3.55

## Properties
- total energy (eV per atom) = -4.58

---

A relaxed structure of Tb3Pr6HoEr2, computed with PBE.

a = 6.3027 Å, b = 6.3027 Å, c = 11.8794 Å
α = 95.06°, β = 95.06°, γ = 120.00°
Closest atoms and distances in Å follow each position.
Positions (direct):
Tb 0.0000 0.0000 0.0000  6 Pr 3.61, 6 Tb 3.64
Tb 0.3333 0.6667 0.0000  6 Pr 3.61, 6 Tb 3.64
Tb 0.6667 0.3333 0.0000  6 Pr 3.61, 6 Tb 3.64
Pr 0.0834 0.4168 0.2514  2 Er 3.58-3.59, 1 Ho 3.59, 3 Tb 3.61, 6 Pr 3.64
Pr 0.2497 0.2497 0.7487  1 Ho 3.59, 2 Er 3.59, 3 Tb 3.61, 6 Pr 3.64
Pr 0.4168 0.0834 0.2514  2 Er 3.58-3.59, 1 Ho 3.59, 3 Tb 3.61, 6 Pr 3.64
Pr 0.5831 0.9166 0.7486  2 Er 3.58-3.59, 1 Ho 3.59, 3 Tb 3.61, 6 Pr 3.64
Pr 0.7503 0.7503 0.2513  1 Ho 3.59, 2 Er 3.59, 3 Tb 3.61, 6 Pr 3.64
Pr 0.9166 0.5831 0.7486  2 Er 3.58-3.59, 1 Ho 3.59, 3 Tb 3.61, 6 Pr 3.64
Ho 0.5000 0.5000 0.5000  6 Pr 3.59, 6 Er 3.64
Er 0.1666 0.8334 0.5000  6 Pr 3.58-3.59, 3 Er 3.64, 3 Ho 3.64
Er 0.8334 0.1666 0.5000  6 Pr 3.58-3.59, 3 Er 3.64, 3 Ho 3.64

## Properties
- total energy (eV per atom) = -4.68

---

A relaxed structure of TbPrHoEr, computed with PBE.

a = 3.4415 Å, b = 5.6344 Å, c = 6.7511 Å
α = 90.00°, β = 90.00°, γ = 90.00°
Closest atoms and distances in Å follow each position.
Positions (direct):
Tb 0.0000 0.0000 0.0000  2 Pr 3.31, 2 Ho 3.32, 2 Tb 3.44
Pr 0.0000 0.5000 0.7435  2 Ho 3.26-3.49, 2 Tb 3.31, 2 Pr 3.44
Ho 0.0000 0.5000 0.2599  2 Pr 3.26-3.49, 2 Tb 3.32, 2 Ho 3.44, 4 Er 3.66
Er 0.5000 0.0000 0.4924  2 Er 3.44, 4 Ho 3.66, 4 Pr 3.71, 4 Tb 3.74-3.83

## Properties
- excess energy over the best structure of this formula in the dataset (eV per formula unit) = 0.28

---

A relaxed structure of TbPrHo6Er2, computed with PBE.

a = 8.7583 Å, b = 8.7583 Å, c = 9.4480 Å
α = 93.24°, β = 93.24°, γ = 117.34°
Closest atoms and distances in Å follow each position.
Positions (direct):
Tb 0.0900 0.9100 0.7500  6 Ho 3.41-3.49, 2 Er 3.51
Tb 0.9100 0.0900 0.2500  6 Ho 3.41-3.49, 2 Er 3.51
Pr 0.4709 0.5291 0.2500  4 Er 3.37-3.45, 4 Ho 3.55-3.69
Pr 0.5291 0.4709 0.7500  4 Er 3.37-3.45, 4 Ho 3.55-3.69
Ho 0.0131 0.7919 0.3835  4 Ho 3.19-3.48, 3 Er 3.26-3.42, 2 Tb 3.41-3.49
Ho 0.0625 0.5168 0.1813  3 Ho 3.19-3.55, 2 Er 3.39-3.53, 1 Tb 3.46, 1 Pr 3.55
Ho 0.2081 0.9869 0.1165  4 Ho 3.19-3.48, 3 Er 3.26-3.42, 2 Tb 3.41-3.49
Ho 0.2527 0.6213 0.5575  7 Ho 3.39-3.72, 1 Er 3.49, 1 Pr 3.69
Ho 0.3787 0.7473 0.9425  7 Ho 3.39-3.72, 1 Er 3.49, 1 Pr 3.69
Ho 0.4832 0.9375 0.3187  3 Ho 3.19-3.55, 2 Er 3.39-3.53, 1 Tb 3.46, 1 Pr 3.55
Ho 0.5168 0.0625 0.6813  3 Ho 3.19-3.55, 2 Er 3.39-3.53, 1 Tb 3.46, 1 Pr 3.55
Ho 0.6213 0.2527 0.0575  7 Ho 3.39-3.72, 1 Er 3.49, 1 Pr 3.69
Ho 0.7473 0.3787 0.4425  7 Ho 3.39-3.72, 1 Er 3.49, 1 Pr 3.69
Ho 0.7919 0.0131 0.8835  4 Ho 3.19-3.48, 3 Er 3.26-3.42, 2 Tb 3.41-3.49
Ho 0.9375 0.4832 0.8187  3 Ho 3.19-3.55, 2 Er 3.39-3.53, 1 Tb 3.46, 1 Pr 3.55
Ho 0.9869 0.2081 0.6165  4 Ho 3.19-3.48, 3 Er 3.26-3.42, 2 Tb 3.41-3.49
Er 0.1958 0.3008 0.9516  6 Ho 3.26-3.53, 2 Pr 3.37-3.45, 1 Tb 3.51
Er 0.3008 0.1958 0.4516  6 Ho 3.26-3.53, 2 Pr 3.37-3.45, 1 Tb 3.51
Er 0.6992 0.8042 0.5484  6 Ho 3.26-3.53, 2 Pr 3.37-3.45, 1 Tb 3.51
Er 0.8042 0.6992 0.0484  6 Ho 3.26-3.53, 2 Pr 3.37-3.45, 1 Tb 3.51

## Properties
- total energy (eV per atom) = -4.48

---

A relaxed structure of Tb2PrHoEr4, computed with PBE.

a = 6.7779 Å, b = 9.4655 Å, c = 9.4685 Å
α = 76.58°, β = 69.08°, γ = 69.07°
Closest atoms and distances in Å follow each position.
Positions (direct):
Tb 0.0000 0.0000 0.0000  6 Er 3.33-3.40, 2 Tb 3.39
Tb 0.0000 0.0000 0.5000  6 Er 3.30-3.38, 2 Pr 3.39
Tb 0.0000 0.5000 0.0000  6 Er 3.30-3.38, 2 Pr 3.39
Tb 0.5000 0.0000 0.0000  6 Er 3.33-3.40, 2 Tb 3.39
Pr 0.5000 0.0000 0.5000  6 Er 3.32-3.39, 2 Tb 3.39
Pr 0.5000 0.5000 0.0000  6 Er 3.32-3.39, 2 Tb 3.39
Ho 0.0000 0.5000 0.5000  6 Er 3.29-3.38, 2 Ho 3.39
Ho 0.5000 0.5000 0.5000  6 Er 3.29-3.38, 2 Ho 3.39
Er 0.2473 0.2511 0.2514  1 Ho 3.29, 3 Tb 3.33-3.38, 2 Er 3.37-3.41, 2 Pr 3.39
Er 0.2483 0.7497 0.2522  3 Tb 3.30-3.40, 1 Pr 3.32, 2 Ho 3.37-3.38, 2 Er 3.39
Er 0.2498 0.2522 0.7497  3 Tb 3.30-3.40, 1 Pr 3.32, 2 Ho 3.37-3.38, 2 Er 3.39
Er 0.2498 0.7486 0.7489  1 Ho 3.29, 3 Tb 3.33-3.38, 2 Er 3.37-3.41, 2 Pr 3.39
Er 0.7502 0.2514 0.2511  1 Ho 3.29, 3 Tb 3.33-3.38, 2 Er 3.37-3.41, 2 Pr 3.39
Er 0.7502 0.7478 0.2503  3 Tb 3.30-3.40, 1 Pr 3.32, 2 Ho 3.37-3.38, 2 Er 3.39
Er 0.7517 0.2503 0.7478  3 Tb 3.30-3.40, 1 Pr 3.32, 2 Ho 3.37-3.38, 2 Er 3.39
Er 0.7527 0.7489 0.7486  1 Ho 3.29, 3 Tb 3.33-3.38, 2 Er 3.37-3.41, 2 Pr 3.39

## Properties
- total energy (eV per atom) = -4.17

---

A relaxed structure of TbPrHo5Er2, computed with PBE.

a = 10.2877 Å, b = 10.2877 Å, c = 10.5021 Å
α = 90.00°, β = 90.00°, γ = 148.46°
Closest atoms and distances in Å follow each position.
Positions (direct):
Tb 0.1997 0.8003 0.5000  2 Er 3.41-3.65, 8 Ho 3.48-3.73, 2 Pr 3.68
Tb 0.8003 0.1997 0.0000  2 Er 3.41-3.65, 8 Ho 3.48-3.73, 2 Pr 3.68
Pr 0.4163 0.5837 0.9370  5 Ho 3.05-3.25
Pr 0.5837 0.4163 0.4370  5 Ho 3.05-3.25
Ho 0.0174 0.9826 0.5123  2 Pr 3.19, 2 Er 3.37, 2 Ho 3.57
Ho 0.2806 0.7194 0.8000  1 Pr 3.05, 1 Er 3.31, 2 Ho 3.38
Ho 0.2986 0.7014 0.1973  4 Ho 3.38-3.74, 3 Tb 3.48-3.73, 3 Er 3.49-3.71, 1 Pr 3.59
Ho 0.3880 0.6120 0.5104  6 Ho 3.47-3.79, 4 Er 3.52-3.57, 1 Tb 3.73
Ho 0.4780 0.5220 0.2236  2 Pr 3.07-3.25
Ho 0.5220 0.4780 0.7236  2 Pr 3.07-3.25
Ho 0.6120 0.3880 0.0104  6 Ho 3.47-3.79, 4 Er 3.52-3.57, 1 Tb 3.73
Ho 0.7014 0.2986 0.6973  4 Ho 3.38-3.74, 3 Tb 3.48-3.73, 3 Er 3.49-3.71, 1 Pr 3.59
Ho 0.7194 0.2806 0.3000  1 Pr 3.05, 1 Er 3.31, 2 Ho 3.38
Ho 0.9826 0.0174 0.0123  2 Pr 3.19, 2 Er 3.37, 2 Ho 3.57
Er 0.1114 0.8886 0.2217  7 Ho 3.37-3.71, 1 Tb 3.41, 2 Pr 3.64
Er 0.1134 0.8866 0.8068  9 Ho 3.31-3.63, 1 Tb 3.65
Er 0.8866 0.1134 0.3068  9 Ho 3.31-3.63, 1 Tb 3.65
Er 0.8886 0.1114 0.7217  7 Ho 3.37-3.71, 1 Tb 3.41, 2 Pr 3.64

## Properties
- total energy (eV per atom) = -4.44

---

A relaxed structure of Tb4PrHo2Er, computed with PBE.

a = 9.4907 Å, b = 9.4907 Å, c = 6.8033 Å
α = 111.00°, β = 111.00°, γ = 88.46°
Closest atoms and distances in Å follow each position.
Positions (direct):
Tb 0.2474 0.2515 0.4971  3 Ho 3.28-3.41, 1 Pr 3.34, 2 Er 3.39-3.40, 2 Tb 3.40
Tb 0.2491 0.7504 0.5017  1 Er 3.30, 3 Ho 3.32-3.40, 2 Tb 3.37-3.43, 2 Pr 3.40-3.41
Tb 0.2496 0.7509 0.9983  1 Er 3.30, 3 Ho 3.32-3.40, 2 Tb 3.37-3.43, 2 Pr 3.40-3.41
Tb 0.2515 0.2474 0.9971  3 Ho 3.28-3.41, 1 Pr 3.34, 2 Er 3.39-3.40, 2 Tb 3.40
Tb 0.7485 0.7526 0.0029  3 Ho 3.28-3.41, 1 Pr 3.34, 2 Er 3.39-3.40, 2 Tb 3.40
Tb 0.7504 0.2491 0.0017  1 Er 3.30, 3 Ho 3.32-3.40, 2 Tb 3.37-3.43, 2 Pr 3.40-3.41
Tb 0.7509 0.2496 0.4983  1 Er 3.30, 3 Ho 3.32-3.40, 2 Tb 3.37-3.43, 2 Pr 3.40-3.41
Tb 0.7526 0.7485 0.5029  3 Ho 3.28-3.41, 1 Pr 3.34, 2 Er 3.39-3.40, 2 Tb 3.40
Pr 0.0000 0.5000 0.0000  6 Tb 3.34-3.41, 2 Ho 3.40
Pr 0.5000 0.0000 0.5000  6 Tb 3.34-3.41, 2 Ho 3.40
Ho 0.0000 0.5000 0.5000  6 Tb 3.28-3.40, 2 Pr 3.40
Ho 0.5000 0.0000 0.0000  6 Tb 3.28-3.40, 2 Pr 3.40
Ho 0.5000 0.5000 0.0000  6 Tb 3.32-3.41, 2 Ho 3.40
Ho 0.5000 0.5000 0.5000  6 Tb 3.32-3.41, 2 Ho 3.40
Er 0.0000 0.0000 0.0000  6 Tb 3.30-3.40, 2 Er 3.40
Er 0.0000 0.0000 0.5000  6 Tb 3.30-3.40, 2 Er 3.40

## Properties
- total energy (eV per atom) = -4.20